Compound: CuNiRh2
Source: Alexandria via LeMat-Bulk
Functional: PBEsol
Structure: optimized geometry

The space group is Cm (No. 8) and the conventional cell measures 8.609, 2.640 and 4.408 Å, with angles of 90.00, 101.04 and 90.00 degrees. The inequivalent atoms are Cu at (0.000, 0.000, 0.000), Ni at (0.252, 0.000, 0.769), Rh at (0.004, 0.500, 0.507) and Rh at (0.254, 0.500, 0.269).

For the theoretical density, the calculation gives 11.08 g cm⁻³. The value obtained for the formation energy is 27 kJ/mol of formula units. The calculation puts the density of states at the Fermi level at 1.56 states/eV per atom. The magnetic moment is 0.0 μB/f.u.